Entry 1:
An optimized crystal structure of CoMoRh. Source: the Alexandria database, functional PBE.

## Properties
Energy of formation ... -16 meV per atom
Energy above the lowest structure with this stoichiometry ... 30.0 meV/atom
Volume ... 13.4 Å³ per atom
M_tot ... 0.0 μB per cell
Uncorrected energy ... -25.3 eV for the cell shown

Structure (POSCAR):
```
CoMoRh
1.0
5.852 0.012 -0.012
5.224 2.638 -0.014
0.628 0.153 2.622
Co Mo Rh
1 1 1
Direct
0.998 0.998 0.002
0.340 0.340 0.660
0.662 0.662 0.338
```

***

Entry 2:
An optimized crystal structure of CoMoRh. Source: the Alexandria database, functional PBE.

## Properties
Energy of formation ... 80 meV per atom
Energy above the lowest structure with this stoichiometry ... 126.3 meV/atom
Volume ... 13.7 Å³ per atom
M_tot ... 2.8 μB per cell
Uncorrected energy ... -50.1 eV for the cell shown

Structure (POSCAR):
```
CoMoRh
1.0
-3.315 -2.678 -1.044
2.844 -3.238 -0.729
1.339 0.138 4.615
Co Mo Rh
2 2 2
Direct
0.371 0.616 0.205
0.859 0.115 0.181
0.207 0.116 0.876
0.023 0.615 0.510
0.705 0.615 0.873
0.525 0.116 0.513
```

***

Entry 3:
An optimized crystal structure of CoMo2Rh7. Source: the Alexandria database, functional PBE.

## Properties
Energy of formation ... 413 meV per atom
Volume ... 16.2 Å³ per atom
M_tot ... 2.9 μB per cell
Uncorrected energy ... -76.1 eV for the cell shown

Structure (POSCAR):
```
CoMo2Rh7
1.0
-0.376 0.158 -2.649
-2.939 -8.012 -0.061
-4.930 6.878 1.109
Co Mo Rh
1 2 7
Direct
0.000 0.000 0.000
0.500 0.672 0.328
0.500 0.328 0.672
0.000 0.818 0.182
0.000 0.182 0.818
0.500 0.133 0.318
0.500 0.867 0.682
0.500 0.318 0.133
0.500 0.682 0.867
0.500 0.500 0.500
```

***

Entry 4:
An optimized crystal structure of CoMo2Rh. Source: the Alexandria database, functional PBE.

## Properties
Energy of formation ... 25 meV per atom
Energy above the lowest structure with this stoichiometry ... 87.0 meV/atom
Volume ... 14.1 Å³ per atom
M_tot ... 0.0 μB per cell
Uncorrected energy ... -36.0 eV for the cell shown

Structure (POSCAR):
```
CoMo2Rh
1.0
-2.527 -2.584 2.915
-1.240 -4.298 1.242
3.264 -0.832 3.363
Co Mo Rh
1 2 1
Direct
0.250 0.250 0.227
0.991 0.991 0.036
0.753 0.753 0.730
0.506 0.506 0.508
```

***

Entry 5:
An optimized crystal structure of CoMo2Rh. Source: the Alexandria database, functional PBE.

## Properties
Energy of formation ... 164 meV per atom
Energy above the lowest structure with this stoichiometry ... 225.9 meV/atom
Volume ... 14.2 Å³ per atom
M_tot ... 0.0 μB per cell
Uncorrected energy ... -35.5 eV for the cell shown

Structure (POSCAR):
```
CoMo2Rh
1.0
4.315 0.000 0.000
2.158 3.737 0.000
2.158 1.246 3.523
Co Mo Rh
1 2 1
Direct
0.500 0.500 0.500
0.000 0.000 0.000
0.250 0.250 0.250
0.750 0.750 0.750
```

***

Entry 6:
An optimized crystal structure of CoMo2Rh. Source: the Alexandria database, functional PBE.

## Properties
Energy of formation ... -38 meV per atom
Energy above the lowest structure with this stoichiometry ... 24.0 meV/atom
Volume ... 14.0 Å³ per atom
M_tot ... 0.0 μB per cell
Uncorrected energy ... -36.3 eV for the cell shown

Structure (POSCAR):
```
CoMo2Rh
1.0
6.011 0.003 0.010
-2.403 4.036 -0.005
1.204 0.728 2.313
Co Mo Rh
1 2 1
Direct
0.500 0.500 0.000
0.000 0.000 0.000
0.500 0.000 0.500
0.000 0.500 0.500
```

***

Entry 7:
An optimized crystal structure of CoMo3Rh. Source: the Alexandria database, functional PBE.

## Properties
Energy of formation ... 1160 meV per atom
Energy above the lowest structure with this stoichiometry ... 0.0 meV/atom
Volume ... 17.0 Å³ per atom
M_tot ... 0.0 μB per cell
Uncorrected energy ... -41.2 eV for the cell shown

Structure (POSCAR):
```
CoMo3Rh
1.0
-3.283 -1.920 2.213
-1.378 -1.921 -3.710
2.585 -3.461 0.832
Co Mo Rh
1 3 1
Direct
0.000 0.000 0.000
0.000 0.500 0.000
0.000 0.000 0.500
0.500 0.000 0.000
0.500 0.500 0.500
```

***

Entry 8:
An optimized crystal structure of Co3MoRh. Source: the Alexandria database, functional PBE.

## Properties
Energy of formation ... 1629 meV per atom
Energy above the lowest structure with this stoichiometry ... 103.8 meV/atom
Volume ... 17.6 Å³ per atom
M_tot ... 9.5 μB per cell
Uncorrected energy ... -31.4 eV for the cell shown

Structure (POSCAR):
```
Co3MoRh
1.0
4.445 0.000 0.000
0.000 4.445 0.000
0.000 0.000 4.445
Co Mo Rh
3 1 1
Direct
0.000 0.500 0.000
0.000 0.000 0.500
0.500 0.000 0.000
0.500 0.500 0.500
0.000 0.000 0.000
```